# 1
## AcTmSn2 (PBE)

Data for an optimized crystal structure of AcTmSn2.

It has space group P4/mmm (No. 123), with a = 5.1814 Å, b = 5.1814 Å, c = 4.5108 Å, α = 90.00°, β = 90.00° and γ = 90.00°. The inequivalent atoms are Ac at (0.0000, 0.0000, 0.0000), Tm at (0.5000, 0.5000, 0.0000) and Sn at (0.0000, 0.5000, 0.5000).

The value obtained for the formation energy is -204 kJ/mol of formula units. For the magnetization, the calculation gives 0.00 Bohr magnetons per cell.

# 2
## PbBrCl2 (PBE)

Data for an optimized crystal structure of PbBrCl2.

It has space group F-43m (No. 216), with a = 7.4378 Å, b = 7.4378 Å, c = 7.4378 Å, α = 90.00°, β = 90.00° and γ = 90.00°. The inequivalent atoms are Pb at (0.0000, 0.0000, 0.0000), Br at (0.2500, 0.2500, 0.7500), Cl at (0.0000, 0.0000, 0.5000) and Cl at (0.2500, 0.2500, 0.2500).

The value obtained for the raw formation energy is -40.8 kJ per mole of atoms. For the magnetization, the calculation gives 3.93 Bohr magnetons per cell. The distance to the lowest polymorph of the same formula comes out at 0.258 eV/atom.

# 3
## LiCe2Au (PBE)

Data for an optimized crystal structure of LiCe2Au.

It has space group R-3m (No. 166, hexagonal axes), with a = 3.0654 Å, b = 3.0654 Å, c = 35.0090 Å, α = 90.00°, β = 90.00° and γ = 120.00°. The inequivalent atoms are Li at (0.0000, 0.0000, 0.0000), Ce at (0.0000, 0.0000, 0.0909) and Au at (0.0000, 0.0000, 0.5000).

The value obtained for the formation energy is 7 kJ/mol of formula units. For the magnetization, the calculation gives 0.01 Bohr magnetons per cell.

# 4
## Ti4CoN2 (PBE)

Data for an optimized crystal structure of Ti4CoN2.

It has space group Cmcm (No. 63), with a = 3.0219 Å, b = 10.1690 Å, c = 10.7962 Å, α = 90.00°, β = 90.00° and γ = 90.00°. The inequivalent atoms are Ti at (0.0000, 0.0000, 0.0000), Ti at (0.0000, 0.2675, 0.1095), Ti at (0.0000, 0.4295, 0.7500), Co at (0.0000, 0.1094, 0.7500) and N at (0.0000, 0.3657, 0.5601).

The value obtained for the raw formation energy is -115.3 kJ per mole of atoms. For the magnetization, the calculation gives 0.00 Bohr magnetons per cell.

# 5
## SrLaAg4 (PBE)

Data for an optimized crystal structure of SrLaAg4.

It has space group F-43m (No. 216), with a = 8.3547 Å, b = 8.3547 Å, c = 8.3547 Å, α = 90.00°, β = 90.00° and γ = 90.00°. The inequivalent atoms are Sr at (0.0000, 0.0000, 0.0000), La at (0.2500, 0.2500, 0.2500) and Ag at (0.1255, 0.1255, 0.6255).

The value obtained for the formation energy is -101 kJ/mol of formula units. For the magnetization, the calculation gives 0.00 Bohr magnetons per cell. The distance to the lowest polymorph of the same formula comes out at 0.098 eV/atom.

# 6
## ZnReSbTe2 (PBE)

Data for an optimized crystal structure of ZnReSbTe2.

It has space group P4/mmm (No. 123), with a = 5.2275 Å, b = 5.2275 Å, c = 5.0853 Å, α = 90.00°, β = 90.00° and γ = 90.00°. The inequivalent atoms are Zn at (0.0000, 0.0000, 0.0000), Re at (0.5000, 0.5000, 0.5000), Sb at (0.0000, 0.0000, 0.5000) and Te at (0.0000, 0.5000, 0.0000).

The value obtained for the raw formation energy is 140.9 kJ per mole of atoms. For the magnetization, the calculation gives 3.34 Bohr magnetons per cell. The distance to the lowest polymorph of the same formula comes out at 0.711 eV/atom.